First-principles (PBE) data for crystalline MgInS2N at its relaxed geometry, as listed in Alexandria.

Cell lengths 4.9692, 4.9692, 3.9944 Å; angles 90.00, 90.00, 90.00 degrees
Last column: nearest neighbours and their distance in Å.
Fractional coordinates of all 5 atoms:
S 0.0000 0.5000 0.0000  2 Mg 2.48
S 0.5000 0.0000 0.0000  2 Mg 2.48
N 0.0000 0.0000 0.5000  2 Mg 2.00
Mg 0.0000 0.0000 0.0000  2 N 2.00
In 0.5000 0.5000 0.5000  8 S 3.19, 4 N 3.51

crystal system = tetragonal
excess energy over the best structure of this formula in the dataset = 0.0 meV/atom
formation energy from raw total energies = 441 meV/atom